No. 1
Below is ThAlB after structural relaxation, with properties calculated at the PBE level.

Computed properties:
Its energy is -5.920 eV/atom. Its size of the total moment is 0.00 Bohr magnetons per cell. The space-group type is F-43m (216).

a b c (Å): 4.3462 4.3462 4.3462
angles (deg): 60.00 60.00 60.00
Fractional positions:
Al  0.2500  0.2500  0.2500
B  0.0000  0.0000  0.0000
Th  0.7500  0.7500  0.7500

No. 2
Below is TmAlB after structural relaxation, with properties calculated at the PBE level.

Computed properties:
Its energy is -4.095 eV/atom. Its size of the total moment is 0.00 Bohr magnetons per cell. The space-group type is F-43m (216).

a b c (Å): 4.3950 4.3950 4.3950
angles (deg): 60.00 60.00 60.00
Fractional positions:
Al  0.2500  0.2500  0.2500
B  0.7500  0.7500  0.7500
Tm  0.0000  0.0000  0.0000

No. 3
Below is TmAlB after structural relaxation, with properties calculated at the PBE level.

Computed properties:
Its energy is -5.160 eV/atom. Its size of the total moment is 0.00 Bohr magnetons per cell. The space-group type is F-43m (216).

a b c (Å): 4.1006 4.1006 4.1006
angles (deg): 60.00 60.00 60.00
Fractional positions:
Al  0.0000  0.0000  0.0000
B  0.7500  0.7500  0.7500
Tm  0.5000  0.5000  0.5000

No. 4
Below is TmAlB after structural relaxation, with properties calculated at the PBE level.

Computed properties:
Its energy is -4.295 eV/atom. Its size of the total moment is 0.00 Bohr magnetons per cell. The space-group type is F-43m (216).

a b c (Å): 4.2068 4.2068 4.2068
angles (deg): 60.00 60.00 60.00
Fractional positions:
Al  0.0000  0.0000  0.0000
B  0.2500  0.2500  0.2500
Tm  0.7500  0.7500  0.7500

What is the formula in the third record?
TmAlB

Which value of energy does entry 4 give?
-4.295 eV/atom

Copy entry 1 word for word.
Below is ThAlB after structural relaxation, with properties calculated at the PBE level.

Computed properties:
Its energy is -5.920 eV/atom. Its size of the total moment is 0.00 Bohr magnetons per cell. The space-group type is F-43m (216).

a b c (Å): 4.3462 4.3462 4.3462
angles (deg): 60.00 60.00 60.00
Fractional positions:
Al  0.2500  0.2500  0.2500
B  0.0000  0.0000  0.0000
Th  0.7500  0.7500  0.7500